Record 1
# La2ScInRu | the Alexandria database | PBE-GGA | relaxed
# total magnetic moment = 0.0 μB per cell
# DFT total energy = -29.5 eV/f.u.
data_La2ScInRu
_chemical_formula_sum 'La2 Sc1 In1 Ru1'
_cell_length_a 5.469
_cell_length_b 5.469
_cell_length_c 5.069
_cell_angle_alpha 90.00
_cell_angle_beta 90.00
_cell_angle_gamma 90.00
_symmetry_space_group_name_H-M 'P 1'
_symmetry_Int_Tables_number 1
_symmetry_space_group_name_Hall 'P 1'
loop_
_atom_site_label
_atom_site_type_symbol
_atom_site_fract_x
_atom_site_fract_y
_atom_site_fract_z
La1 La 0.000 0.500 0.000
La2 La 0.500 0.000 0.000
Sc1 Sc 0.000 0.000 0.500
In1 In 0.500 0.500 0.500
Ru1 Ru 0.000 0.000 0.000


Record 2
# La3SmInRu | the Alexandria database | PBE-GGA | relaxed
# total magnetic moment = 0.0 μB per cell
# DFT total energy = -33.5 eV/f.u.
data_La3SmInRu
_chemical_formula_sum 'La6 Sm2 In2 Ru2'
_cell_length_a 9.149
_cell_length_b 9.149
_cell_length_c 6.193
_cell_angle_alpha 109.67
_cell_angle_beta 109.67
_cell_angle_gamma 48.63
_symmetry_space_group_name_H-M 'P 1'
_symmetry_Int_Tables_number 1
_symmetry_space_group_name_Hall 'P 1'
loop_
_atom_site_label
_atom_site_type_symbol
_atom_site_fract_x
_atom_site_fract_y
_atom_site_fract_z
La1 La 0.133 0.632 0.883
La2 La 0.181 0.181 0.680
La3 La 0.368 0.867 0.117
La4 La 0.632 0.133 0.883
La5 La 0.819 0.819 0.320
La6 La 0.867 0.368 0.117
Sm1 Sm 0.298 0.702 0.500
Sm2 Sm 0.702 0.298 0.500
In1 In 0.306 0.306 0.305
In2 In 0.694 0.694 0.695
Ru1 Ru 0.000 0.000 0.241
Ru2 Ru 0.000 0.000 0.759